VASP calculation (PBE) on Rb4Hf3CuS8 after structural relaxation.

Summary:
magnetic moment	0.0	μB per formula unit
E_form (uncorrected)	-1.27	eV/atom

Cell lengths 7.6343, 7.6343, 8.7852 Å; angles 115.77, 115.77, 59.93 degrees
With the nearest neighbours (Å) after each atom.
Sites, in units of the cell vectors:
Rb 0.0000 0.0000 0.0000  6 S 3.24
Rb 0.0000 0.5000 0.0000  6 S 3.24-3.29
Rb 0.5000 0.0000 0.0000  6 S 3.24-3.29
Rb 0.5000 0.5000 0.0000  6 S 3.24-3.29
Hf 0.0000 0.0000 0.5000  6 S 2.58-2.63
Hf 0.0000 0.5000 0.5000  6 S 2.58-2.63
Hf 0.5000 0.0000 0.5000  6 S 2.58-2.63
Cu 0.5000 0.5000 0.5000  6 S 2.64-2.65
S 0.2197 0.7305 0.6810  2 Hf 2.58, 1 Cu 2.64
S 0.2292 0.2292 0.6880  3 Hf 2.63
S 0.2689 0.2689 0.3185  2 Hf 2.58, 1 Cu 2.65
S 0.2695 0.7803 0.3190  2 Hf 2.58, 1 Cu 2.64
S 0.7305 0.2197 0.6810  2 Hf 2.58, 1 Cu 2.64
S 0.7311 0.7311 0.6815  2 Hf 2.58, 1 Cu 2.65
S 0.7708 0.7708 0.3120  3 Hf 2.63
S 0.7803 0.2695 0.3190  2 Hf 2.58, 1 Cu 2.64

VASP calculation (PBE) on Rb2Hf2CuSe6 after structural relaxation.

Summary:
magnetic moment	0.9	μB per formula unit
E_form (uncorrected)	-1.07	eV/atom

Cell lengths 6.7589, 6.7589, 8.5134 Å; angles 97.35, 97.35, 121.23 degrees
With the nearest neighbours (Å) after each atom.
Sites, in units of the cell vectors:
Rb 0.1612 0.8388 0.0000  6 Se 3.42-3.45, 1 Rb 3.80
Rb 0.8388 0.1612 0.0000  6 Se 3.42-3.45, 1 Rb 3.80
Hf 0.3303 0.6697 0.5000  6 Se 2.66-2.72
Hf 0.6697 0.3303 0.5000  6 Se 2.66-2.72
Cu 0.0000 0.0000 0.5000  6 Se 2.55-2.76
Se 0.0659 0.4042 0.6867  2 Hf 2.66-2.70, 1 Cu 2.76
Se 0.2629 0.2629 0.3282  1 Cu 2.55, 2 Hf 2.72
Se 0.4042 0.0659 0.6867  2 Hf 2.66-2.70, 1 Cu 2.76
Se 0.5958 0.9341 0.3133  2 Hf 2.66-2.70, 1 Cu 2.76
Se 0.7371 0.7371 0.6718  1 Cu 2.55, 2 Hf 2.72
Se 0.9341 0.5958 0.3133  2 Hf 2.66-2.70, 1 Cu 2.76

Q: Which formula does entry 1 have?
A: Rb4Hf3CuS8

Q: Which formula does entry 1 have?
A: Rb4Hf3CuS8

Q: Which of these has the lowest magnetic moment?
A: Rb4Hf3CuS8

Repeat the first record exactly.
VASP calculation (PBE) on Rb4Hf3CuS8 after structural relaxation.

Summary:
magnetic moment	0.0	μB per formula unit
E_form (uncorrected)	-1.27	eV/atom

Cell lengths 7.6343, 7.6343, 8.7852 Å; angles 115.77, 115.77, 59.93 degrees
With the nearest neighbours (Å) after each atom.
Sites, in units of the cell vectors:
Rb 0.0000 0.0000 0.0000  6 S 3.24
Rb 0.0000 0.5000 0.0000  6 S 3.24-3.29
Rb 0.5000 0.0000 0.0000  6 S 3.24-3.29
Rb 0.5000 0.5000 0.0000  6 S 3.24-3.29
Hf 0.0000 0.0000 0.5000  6 S 2.58-2.63
Hf 0.0000 0.5000 0.5000  6 S 2.58-2.63
Hf 0.5000 0.0000 0.5000  6 S 2.58-2.63
Cu 0.5000 0.5000 0.5000  6 S 2.64-2.65
S 0.2197 0.7305 0.6810  2 Hf 2.58, 1 Cu 2.64
S 0.2292 0.2292 0.6880  3 Hf 2.63
S 0.2689 0.2689 0.3185  2 Hf 2.58, 1 Cu 2.65
S 0.2695 0.7803 0.3190  2 Hf 2.58, 1 Cu 2.64
S 0.7305 0.2197 0.6810  2 Hf 2.58, 1 Cu 2.64
S 0.7311 0.7311 0.6815  2 Hf 2.58, 1 Cu 2.65
S 0.7708 0.7708 0.3120  3 Hf 2.63
S 0.7803 0.2695 0.3190  2 Hf 2.58, 1 Cu 2.64